The following is a PBE with a Hubbard U calculation of crystalline RbPrFeO3 at its relaxed geometry, from Alexandria.

abc: 3.7851 7.8416 9.3191
angles: 107.78 90.00 90.00
Closest atoms and distances in Å follow each position.
Sites, in units of the cell vectors:
O1 0.2500 0.1304 0.8468  1 Fe 1.98
O2 0.7500 0.4569 0.1187  3 Pr 2.36-2.44
O3 0.7500 0.8696 0.1532  1 Fe 1.98
O4 0.2500 0.8791 0.4063  3 Fe 2.03-2.05
O5 0.7500 0.1209 0.5937  3 Fe 2.03-2.05
O6 0.2500 0.5431 0.8813  3 Pr 2.36-2.44
Pr1 0.7500 0.3393 0.8535  6 O 2.36-2.50
Pr2 0.2500 0.6607 0.1465  6 O 2.36-2.50
Fe1 0.7500 0.9549 0.3759  4 O 1.98-2.05
Fe2 0.2500 0.0451 0.6241  4 O 1.98-2.05
Rb1 0.2500 0.1836 0.1707  5 O 2.92-3.07
Rb2 0.7500 0.8164 0.8293  5 O 2.92-3.07

* spin magnetization: 4.05 μB per formula unit
* total DFT energy (no corrections): -77.68 eV for the cell shown
* Fermi-level density of states: 0.000 states/eV per atom